First-principles (PBEsol) data for crystalline CaFeAs2Se at its relaxed geometry, as listed in the Alexandria database.

a = 4.378 Å, b = 4.378 Å, c = 5.457 Å
α = 90.00°, β = 90.00°, γ = 90.00°
Element x y z (fractional)
Ca 0.000 0.000 0.000
Fe 0.500 0.500 0.500
As 0.000 0.500 0.500
As 0.500 0.000 0.500
Se 0.500 0.500 0.000

Crystal system: tetragonal
Formation energy (no corrections) in meV/atom: -365
Calculated volume in A^3/atom: 20.9
Energy in eV/atom: -5.3971


First-principles (PBEsol) data for crystalline AgN2Cl at its relaxed geometry, as listed in the Alexandria database.

a = 5.958 Å, b = 5.958 Å, c = 5.958 Å
α = 32.23°, β = 32.23°, γ = 32.23°
Element x y z (fractional)
Ag 0.000 0.000 0.000
N 0.390 0.390 0.390
N 0.610 0.610 0.610
Cl 0.500 0.500 0.500

Crystal system: trigonal
Formation energy (no corrections) in meV/atom: 1319
Calculated volume in A^3/atom: 13.4
Energy in eV/atom: -4.2744


First-principles (PBEsol) data for crystalline NaMnO4 at its relaxed geometry, as listed in the Alexandria database.

a = 5.290 Å, b = 5.290 Å, c = 7.295 Å
α = 90.00°, β = 90.00°, γ = 115.25°
Element x y z (fractional)
Na 0.000 0.000 0.000
Na 0.000 0.000 0.500
Mn 0.360 0.640 0.750
Mn 0.640 0.360 0.250
O 0.232 0.303 0.750
O 0.258 0.742 0.571
O 0.258 0.742 0.929
O 0.303 0.232 0.250
O 0.697 0.768 0.750
O 0.742 0.258 0.071
O 0.742 0.258 0.429
O 0.768 0.697 0.250

Crystal system: orthorhombic
Formation energy (no corrections) in meV/atom: -1410
Calculated volume in A^3/atom: 15.4
Energy in eV/atom: -6.7695


First-principles (PBEsol) data for crystalline Mg4MnRe at its relaxed geometry, as listed in the Alexandria database.

a = 5.285 Å, b = 5.285 Å, c = 5.285 Å
α = 60.00°, β = 60.00°, γ = 60.00°
Element x y z (fractional)
Mg 0.376 0.376 0.376
Mg 0.376 0.376 0.872
Mg 0.376 0.872 0.376
Mg 0.872 0.376 0.376
Mn 0.000 0.000 0.000
Re 0.750 0.750 0.750

Crystal system: cubic
Calculated volume in A^3/atom: 17.4
Energy in eV/atom: -4.2029


First-principles (PBEsol) data for crystalline ZrNi4Pt at its relaxed geometry, as listed in the Alexandria database.

a = 4.731 Å, b = 4.731 Å, c = 4.731 Å
α = 60.00°, β = 60.00°, γ = 60.00°
Element x y z (fractional)
Zr 0.000 0.000 0.000
Ni 0.127 0.624 0.624
Ni 0.624 0.127 0.624
Ni 0.624 0.624 0.127
Ni 0.624 0.624 0.624
Pt 0.250 0.250 0.250

Crystal system: cubic
Calculated volume in A^3/atom: 12.5
Energy in eV/atom: -7.3036


First-principles (PBEsol) data for crystalline Ta2CdPb at its relaxed geometry, as listed in the Alexandria database.

a = 3.588 Å, b = 4.626 Å, c = 4.691 Å
α = 90.00°, β = 90.00°, γ = 90.00°
Element x y z (fractional)
Ta 0.000 0.000 0.000
Ta 0.500 0.500 0.000
Cd 0.000 0.500 0.500
Pb 0.500 0.000 0.500

Crystal system: orthorhombic
Calculated volume in A^3/atom: 19.5
Energy in eV/atom: -7.1201


First-principles (PBEsol) data for crystalline Sr2CrO4 at its relaxed geometry, as listed in the Alexandria database.

a = 6.812 Å, b = 6.812 Å, c = 6.812 Å
α = 148.00°, β = 148.00°, γ = 45.89°
Element x y z (fractional)
Sr 0.146 0.146 0.000
Sr 0.854 0.854 0.000
Cr 0.500 0.500 0.000
O 0.000 0.500 0.500
O 0.343 0.343 0.000
O 0.500 0.000 0.500
O 0.657 0.657 0.000

Crystal system: tetragonal
Formation energy (no corrections) in meV/atom: -2581
Calculated volume in A^3/atom: 12.6
Energy in eV/atom: -7.5697


First-principles (PBEsol) data for crystalline GaSbCl6 at its relaxed geometry, as listed in the Alexandria database.

a = 10.458 Å, b = 7.629 Å, c = 13.071 Å
α = 90.00°, β = 104.06°, γ = 90.00°
Element x y z (fractional)
Ga 0.150 0.244 0.075
Ga 0.150 0.256 0.575
Ga 0.850 0.744 0.425
Ga 0.850 0.756 0.925
Sb 0.235 0.743 0.118
Sb 0.235 0.757 0.618
Sb 0.765 0.243 0.382
Sb 0.765 0.257 0.882
Cl 0.003 0.596 0.379
Cl 0.003 0.904 0.879
Cl 0.104 0.106 0.432
Cl 0.104 0.394 0.932
Cl 0.231 0.075 0.710
Cl 0.231 0.425 0.210
Cl 0.312 0.667 0.794
Cl 0.312 0.833 0.294
Cl 0.313 0.063 0.063
Cl 0.313 0.437 0.563
Cl 0.437 0.656 0.085
Cl 0.437 0.844 0.585
Cl 0.563 0.156 0.415
Cl 0.563 0.344 0.915
Cl 0.687 0.563 0.437
Cl 0.687 0.937 0.937
Cl 0.688 0.167 0.706
Cl 0.688 0.333 0.206
Cl 0.769 0.575 0.790
Cl 0.769 0.925 0.290
Cl 0.896 0.606 0.068
Cl 0.896 0.894 0.568
Cl 0.997 0.096 0.121
Cl 0.997 0.404 0.621

Crystal system: monoclinic
Formation energy (no corrections) in meV/atom: -970
Calculated volume in A^3/atom: 31.6
Energy in eV/atom: -3.4630


First-principles (PBEsol) data for crystalline BiAsPbSe2 at its relaxed geometry, as listed in the Alexandria database.

a = 5.433 Å, b = 5.433 Å, c = 5.295 Å
α = 90.00°, β = 90.00°, γ = 90.00°
Element x y z (fractional)
Bi 0.000 0.000 0.000
As 0.000 0.000 0.500
Pb 0.500 0.500 0.500
Se 0.000 0.500 0.000
Se 0.500 0.000 0.000

Crystal system: tetragonal
Formation energy (no corrections) in meV/atom: 457
Calculated volume in A^3/atom: 31.3
Energy in eV/atom: -3.7613


First-principles (PBEsol) data for crystalline Y2ScSn2 at its relaxed geometry, as listed in the Alexandria database.

a = 7.658 Å, b = 7.658 Å, c = 4.406 Å
α = 90.00°, β = 90.00°, γ = 90.00°
Element x y z (fractional)
Y 0.170 0.330 0.000
Y 0.330 0.830 0.000
Y 0.670 0.170 0.000
Y 0.830 0.670 0.000
Sc 0.000 0.000 0.500
Sc 0.500 0.500 0.500
Sn 0.135 0.635 0.500
Sn 0.365 0.135 0.500
Sn 0.635 0.865 0.500
Sn 0.865 0.365 0.500

Crystal system: tetragonal
Calculated volume in A^3/atom: 25.8
Energy in eV/atom: -6.5153


First-principles (PBEsol) data for crystalline SrHgP3 at its relaxed geometry, as listed in the Alexandria database.

a = 4.993 Å, b = 4.993 Å, c = 4.993 Å
α = 90.00°, β = 90.00°, γ = 90.00°
Element x y z (fractional)
Sr 0.000 0.000 0.000
Hg 0.500 0.500 0.500
P 0.000 0.500 0.500
P 0.500 0.000 0.500
P 0.500 0.500 0.000

Crystal system: cubic
Calculated volume in A^3/atom: 24.9
Energy in eV/atom: -3.5188


First-principles (PBEsol) data for crystalline Os2RuPb at its relaxed geometry, as listed in the Alexandria database.

a = 4.846 Å, b = 4.846 Å, c = 4.823 Å
α = 98.71°, β = 98.71°, γ = 34.56°
Element x y z (fractional)
Os 0.237 0.237 0.219
Os 0.763 0.763 0.781
Ru 0.500 0.500 0.000
Pb 0.000 0.000 0.500

Crystal system: monoclinic
Calculated volume in A^3/atom: 15.9
Energy in eV/atom: -8.9330